# VTe2O PBE with a Hubbard U relaxed
# - energy (eV/atom) = -4.3999
data_VTe2O
_chemical_formula_sum 'V4 Te8 O4'
_cell_length_a 5.571
_cell_length_b 5.571
_cell_length_c 13.253
_cell_angle_alpha 90.00
_cell_angle_beta 90.00
_cell_angle_gamma 90.00
_symmetry_space_group_name_H-M 'I -4 2 d'
_symmetry_Int_Tables_number 122
_symmetry_space_group_name_Hall 'I -4 2bw'
loop_
_atom_site_label
_atom_site_fract_x
_atom_site_fract_y
_atom_site_fract_z
V1 0.000 0.000 0.000
Te1 0.170 0.250 0.625
O1 0.000 0.000 0.500